First-principles (PBE-GGA) data for an optimized crystal structure of Pa6GaRu, as listed in the Alexandria database.

Computed properties:
Energy, eV per atom: -8.54
Space group: C2/m (12)

The structure in extended XYZ format:
```
8
Lattice="3.9836 -3.2772 0.0000 3.9836 3.2772 0.0000 -3.6116 0.0000 7.7697" Properties=species:S:1:pos:R:3 pbc="T T T"
Pa 0.3953 1.8581 5.3249
Pa 2.6383 0.0000 0.0406
Pa 3.9603 1.8581 2.4449
Pa 0.3953 -1.8581 5.3249
Pa 1.7174 0.0000 7.7291
Pa 3.9603 -1.8581 2.4449
Ga 2.1778 0.0000 3.8849
Ru 0.0000 0.0000 0.0000
```